Run w
The following is a PBE calculation of a relaxed KBaCa2Cu crystal, from the Alexandria database.

a b c (Å): 5.943 5.943 6.319
angles (deg): 90.00 90.00 90.00
Positions (direct):
K 0.000 0.000 0.000
Ba 0.500 0.500 0.000
Ca 0.000 0.500 0.500
Ca 0.500 0.000 0.500
Cu 0.500 0.500 0.500

Output
Its space-group type is P4/mmm, No. 123.

---

Run x
The following is a PBE calculation of a relaxed KBaCa2Cu crystal, from the Alexandria database.

a b c (Å): 5.858 5.858 6.422
angles (deg): 90.00 90.00 90.00
Positions (direct):
K 0.000 0.000 0.000
Ba 0.500 0.500 0.000
Ca 0.000 0.500 0.500
Ca 0.500 0.000 0.500
Cu 0.000 0.000 0.500

Output
Its space-group type is P4/mmm, No. 123.

---

Quick one: least stable of them? run x